Entry 1:
Computed, not measured: a relaxed structure of KIr3C at the PBE level of DFT.

Formation energy from the elements, eV per atom: 4.50
Total moment, μB per formula unit: 1.7
Offset from the most stable computed form, meV/atom: 3703

a = 4.714 Å, b = 4.714 Å, c = 4.714 Å
α = 90.00°, β = 90.00°, γ = 90.00°
Each line ends with the local moment (μB).
Positions (direct):
C1 0.500 0.500 0.500  -0.16
Ir1 0.000 0.000 0.500  0.67
K1 0.000 0.000 0.000  -0.01
Ir2 0.000 0.500 0.000  0.79
Ir3 0.500 0.000 0.000  0.60

Entry 2:
Computed, not measured: a relaxed structure of YIn2Ag at the PBE level of DFT.

Formation energy from the elements, eV per atom: -0.18
Total moment, μB per formula unit: 0.0

a = 5.930 Å, b = 5.930 Å, c = 5.930 Å
α = 142.89°, β = 127.72°, γ = 65.84°
Positions (direct):
Ag1 0.250 0.750 0.500
Y1 0.750 0.250 0.500
In1 0.020 0.020 0.000
In2 0.480 0.480 0.000

Entry 3:
Computed, not measured: a relaxed structure of MnIn2Re at the PBE level of DFT.

Formation energy from the elements, eV per atom: 0.27
Total moment, μB per formula unit: 0.0
Offset from the most stable computed form, meV/atom: 0

a = 2.963 Å, b = 2.963 Å, c = 8.309 Å
α = 90.00°, β = 90.00°, γ = 90.00°
Positions (direct):
In1 0.500 0.500 0.307
In2 0.000 0.000 0.955
Re1 0.500 0.500 0.697
Mn1 0.000 0.000 0.541